The following is a GGA+U calculation of a relaxed structure of CsBa2Ni2F9, from Alexandria via LeMat-Bulk.

Computed properties:
Crystal system: trigonal
Total DFT energy (no corrections), Ha/atom: -0.179

```
data_CsBa2Ni2F9
_cell_length_a 5.9314
_cell_length_b 5.9314
_cell_length_c 21.5312
_cell_angle_alpha 90.00
_cell_angle_beta 90.00
_cell_angle_gamma 120.00
_space_group_name_H-M_alt 'R 3 m'
_space_group_IT_number 160
_space_group_name_Hall 'R 3 -2"'
loop_
_atom_site_label
_atom_site_type_symbol
_atom_site_fract_x
_atom_site_fract_y
_atom_site_fract_z
Cs1 Cs 0.0000 0.0000 0.0000
Ba1 Ba 0.0000 0.0000 0.2144
Ba2 Ba 0.0000 0.0000 0.4196
Ni1 Ni 0.0000 0.0000 0.6056
Ni2 Ni 0.0000 0.0000 0.8256
F1 F 0.0003 0.5001 0.4464
F2 F 0.0059 0.5030 0.9838
F3 F 0.0126 0.5063 0.2111
```